#P
Computed, not measured: an optimized crystal structure of YZnF2 at the GGA-PBE level of DFT.

Unit cell a=7.575 b=7.575 c=7.575 alpha=27.40 beta=27.40 gamma=27.40
Fractional positions:
1 Y 0.000 0.000 0.000
2 Zn 0.500 0.500 0.500
3 F 0.099 0.099 0.099
4 F 0.901 0.901 0.901

Computed properties:
Total magnetic moment: 0.00 μB/f.u.
SG: R-3m, No. 166



#Q
Computed, not measured: an optimized crystal structure of YZnF2 at the GGA-PBE level of DFT.

Unit cell a=7.940 b=7.940 c=7.940 alpha=147.73 beta=147.73 gamma=46.29
Fractional positions:
1 Y 0.000 0.000 0.000
2 Y 0.750 0.250 0.500
3 Zn 0.250 0.750 0.500
4 Zn 0.500 0.500 0.000
5 F 0.016 0.625 0.891
6 F 0.375 0.266 0.391
7 F 0.734 0.125 0.109
8 F 0.875 0.984 0.609

Computed properties:
Total magnetic moment: 0.00 μB/f.u.
SG: I-42d, No. 122



#Q has the most favorable energy; the next structure is 44.3 kJ/mol of atoms above.



#P
Computed, not measured: an optimized crystal structure of YZnF2 at the GGA-PBE level of DFT.

Unit cell a=4.417 b=4.417 c=4.417 alpha=60.00 beta=60.00 gamma=60.00
Fractional positions:
1 Y 0.000 0.000 0.000
2 Zn 0.500 0.500 0.500
3 F 0.250 0.250 0.250
4 F 0.750 0.750 0.750

Computed properties:
Total magnetic moment: 0.78 μB/f.u.
SG: Fm-3m, No. 225



#Q
Computed, not measured: an optimized crystal structure of YZnF2 at the GGA-PBE level of DFT.

Unit cell a=9.354 b=9.354 c=9.354 alpha=20.71 beta=20.71 gamma=20.71
Fractional positions:
1 Y 0.000 0.000 0.000
2 Zn 0.500 0.500 0.500
3 F 0.382 0.382 0.382
4 F 0.618 0.618 0.618

Computed properties:
Total magnetic moment: 0.77 μB/f.u.
SG: R-3m, No. 166



#Q has the most favorable energy; the next structure is 26.6 kJ/mol of atoms above.



#P
Computed, not measured: an optimized crystal structure of Y2ZnF at the GGA-PBE level of DFT.

Unit cell a=9.710 b=9.710 c=9.710 alpha=20.05 beta=20.05 gamma=20.05
Fractional positions:
1 Y 0.105 0.105 0.105
2 Y 0.895 0.895 0.895
3 Zn 0.000 0.000 0.000
4 F 0.500 0.500 0.500

Computed properties:
Total magnetic moment: 0.00 μB/f.u.
SG: R-3m, No. 166



#Q
Computed, not measured: an optimized crystal structure of Y2ZnF at the GGA-PBE level of DFT.

Unit cell a=4.952 b=4.952 c=4.952 alpha=60.00 beta=60.00 gamma=60.00
Fractional positions:
1 Y 0.250 0.250 0.250
2 Y 0.750 0.750 0.750
3 Zn 0.000 0.000 0.000
4 F 0.500 0.500 0.500

Computed properties:
Total magnetic moment: 0.00 μB/f.u.
SG: Fm-3m, No. 225



#Q has the most favorable energy; the next structure is 11.9 kJ/mol of atoms above.



#P
Computed, not measured: an optimized crystal structure of YZrF2 at the GGA-PBE level of DFT.

Unit cell a=8.088 b=8.088 c=8.088 alpha=22.99 beta=22.99 gamma=22.99
Fractional positions:
1 Y 0.000 0.000 0.000
2 Zr 0.500 0.500 0.500
3 F 0.405 0.405 0.405
4 F 0.595 0.595 0.595

Computed properties:
Total magnetic moment: 1.12 μB/f.u.
SG: R-3m, No. 166



#Q
Computed, not measured: an optimized crystal structure of YZrF2 at the GGA-PBE level of DFT.

Unit cell a=6.541 b=6.541 c=6.541 alpha=131.47 beta=131.47 gamma=71.06
Fractional positions:
1 Y 0.000 0.000 0.000
2 Y 0.750 0.250 0.500
3 Zr 0.250 0.750 0.500
4 Zr 0.500 0.500 0.000
5 F 0.108 0.625 0.983
6 F 0.375 0.358 0.483
7 F 0.642 0.125 0.017
8 F 0.875 0.892 0.517

Computed properties:
Total magnetic moment: 0.15 μB/f.u.
SG: I-42d, No. 122



#P has the most favorable energy; the next structure is 8.1 kJ/mol of atoms above.



#P
Computed, not measured: an optimized crystal structure of YZr2F at the GGA-PBE level of DFT.

Unit cell a=5.009 b=5.009 c=5.009 alpha=60.00 beta=60.00 gamma=60.00
Fractional positions:
1 Y 0.000 0.000 0.000
2 Zr 0.250 0.250 0.250
3 Zr 0.750 0.750 0.750
4 F 0.500 0.500 0.500

Computed properties:
Total magnetic moment: 0.00 μB/f.u.
SG: Fm-3m, No. 225



#Q
Computed, not measured: an optimized crystal structure of YZr2F at the GGA-PBE level of DFT.

Unit cell a=7.220 b=7.220 c=7.220 alpha=131.11 beta=131.11 gamma=71.64
Fractional positions:
1 Y 0.000 0.000 0.000
2 Y 0.750 0.250 0.500
3 Zr 0.336 0.625 0.211
4 Zr 0.375 0.586 0.711
5 Zr 0.414 0.125 0.789
6 Zr 0.875 0.664 0.289
7 F 0.250 0.750 0.500
8 F 0.500 0.500 0.000

Computed properties:
Total magnetic moment: 0.00 μB/f.u.
SG: I-42d, No. 122



#Q has the most favorable energy; the next structure is 67.5 kJ/mol of atoms above.



#P
Computed, not measured: an optimized crystal structure of ZnF4 at the GGA-PBE level of DFT.

Unit cell a=3.945 b=3.945 c=3.945 alpha=90.00 beta=90.00 gamma=90.00
Fractional positions:
1 Zn 0.000 0.000 0.000
2 F 0.000 0.000 0.500
3 F 0.000 0.500 0.000
4 F 0.500 0.000 0.000
5 F 0.500 0.500 0.500

Computed properties:
Total magnetic moment: 1.83 μB/f.u.
SG: Pm-3m, No. 221



#Q
Computed, not measured: an optimized crystal structure of ZnF4 at the GGA-PBE level of DFT.

Unit cell a=6.110 b=6.110 c=5.457 alpha=96.38 beta=96.38 gamma=56.31
Fractional positions:
1 Zn 0.204 0.204 0.471
2 Zn 0.796 0.796 0.529
3 F 0.025 0.025 0.332
4 F 0.025 0.523 0.284
5 F 0.433 0.433 0.975
6 F 0.477 0.975 0.716
7 F 0.523 0.025 0.284
8 F 0.567 0.567 0.025
9 F 0.975 0.477 0.716
10 F 0.975 0.975 0.668

Computed properties:
Total magnetic moment: 1.06 μB/f.u.
SG: C2/m, No. 12



#Q has the most favorable energy; the next structure is 14.4 kJ/mol of atoms above.



#P
Computed, not measured: an optimized crystal structure of ZrZn3F at the GGA-PBE level of DFT.

Unit cell a=4.400 b=4.400 c=4.400 alpha=90.00 beta=90.00 gamma=90.00
Fractional positions:
1 Zr 0.000 0.000 0.000
2 Zn 0.000 0.500 0.500
3 Zn 0.500 0.000 0.500
4 Zn 0.500 0.500 0.000
5 F 0.500 0.500 0.500

Computed properties:
Total magnetic moment: 0.00 μB/f.u.
SG: Pm-3m, No. 221



#Q
Computed, not measured: an optimized crystal structure of ZrZn3F at the GGA-PBE level of DFT.

Unit cell a=5.461 b=5.461 c=5.461 alpha=90.00 beta=90.00 gamma=90.00
Fractional positions:
1 Zr 0.000 0.000 0.000
2 Zn 0.000 0.000 0.500
3 Zn 0.000 0.500 0.000
4 Zn 0.500 0.000 0.000
5 F 0.500 0.500 0.500

Computed properties:
Total magnetic moment: 0.08 μB/f.u.
SG: Pm-3m, No. 221



#P has the most favorable energy; the next structure is 88.2 kJ/mol of atoms above.



#P
Computed, not measured: an optimized crystal structure of ZrZnF2 at the GGA-PBE level of DFT.

Unit cell a=8.279 b=8.279 c=8.279 alpha=19.85 beta=19.85 gamma=19.85
Fractional positions:
1 Zr 0.000 0.000 0.000
2 Zn 0.500 0.500 0.500
3 F 0.398 0.398 0.398
4 F 0.602 0.602 0.602

Computed properties:
Total magnetic moment: 0.00 μB/f.u.
SG: R-3m, No. 166



#Q
Computed, not measured: an optimized crystal structure of ZrZnF2 at the GGA-PBE level of DFT.

Unit cell a=4.317 b=4.317 c=4.317 alpha=60.00 beta=60.00 gamma=60.00
Fractional positions:
1 Zr 0.000 0.000 0.000
2 Zn 0.500 0.500 0.500
3 F 0.250 0.250 0.250
4 F 0.750 0.750 0.750

Computed properties:
Total magnetic moment: 1.95 μB/f.u.
SG: Fm-3m, No. 225



#R
Computed, not measured: an optimized crystal structure of ZrZnF2 at the GGA-PBE level of DFT.

Unit cell a=8.514 b=8.514 c=8.514 alpha=20.45 beta=20.45 gamma=20.45
Fractional positions:
1 Zr 0.000 0.000 0.000
2 Zn 0.500 0.500 0.500
3 F 0.080 0.080 0.080
4 F 0.920 0.920 0.920

Computed properties:
Total magnetic moment: 0.00 μB/f.u.
SG: R-3m, No. 166



#S
Computed, not measured: an optimized crystal structure of ZrZnF2 at the GGA-PBE level of DFT.

Unit cell a=7.905 b=7.905 c=7.905 alpha=150.37 beta=150.37 gamma=42.40
Fractional positions:
1 Zr 0.000 0.000 0.000
2 Zr 0.750 0.250 0.500
3 Zn 0.250 0.750 0.500
4 Zn 0.500 0.500 0.000
5 F 0.027 0.625 0.902
6 F 0.375 0.277 0.402
7 F 0.723 0.125 0.098
8 F 0.875 0.973 0.598

Computed properties:
Total magnetic moment: 0.00 μB/f.u.
SG: I-42d, No. 122



#P has the most favorable energy; the next structure is 17.8 kJ/mol of atoms above.



#P
Computed, not measured: an optimized crystal structure of ZrZn2F at the GGA-PBE level of DFT.

Unit cell a=4.578 b=4.578 c=4.578 alpha=60.00 beta=60.00 gamma=60.00
Fractional positions:
1 Zr 0.000 0.000 0.000
2 Zn 0.250 0.250 0.250
3 Zn 0.750 0.750 0.750
4 F 0.500 0.500 0.500

Computed properties:
Total magnetic moment: 0.00 μB/f.u.
SG: Fm-3m, No. 225



#Q
Computed, not measured: an optimized crystal structure of ZrZn2F at the GGA-PBE level of DFT.

Unit cell a=5.937 b=5.937 c=5.937 alpha=98.37 beta=98.37 gamma=135.13
Fractional positions:
1 Zr 0.000 0.000 0.000
2 Zr 0.750 0.250 0.500
3 Zn 0.161 0.125 0.536
4 Zn 0.375 0.839 0.964
5 Zn 0.589 0.625 0.464
6 Zn 0.875 0.411 0.036
7 F 0.250 0.750 0.500
8 F 0.500 0.500 0.000

Computed properties:
Total magnetic moment: 0.00 μB/f.u.
SG: I-42d, No. 122



#Q has the most favorable energy; the next structure is 43.7 kJ/mol of atoms above.



#P
Computed, not measured: an optimized crystal structure of GaFe4 at the GGA-PBE level of DFT.

Unit cell a=3.436 b=3.436 c=5.782 alpha=107.14 beta=107.14 gamma=90.03
Fractional positions:
1 Ga 0.000 0.000 0.000
2 Fe 0.250 0.750 0.500
3 Fe 0.400 0.400 0.800
4 Fe 0.600 0.600 0.200
5 Fe 0.750 0.250 0.500

Computed properties:
Total magnetic moment: 1.85 μB/f.u.
SG: C2/m, No. 12



#Q
Computed, not measured: an optimized crystal structure of GaFe4 at the GGA-PBE level of DFT.

Unit cell a=4.352 b=4.352 c=4.352 alpha=90.00 beta=90.00 gamma=90.00
Fractional positions:
1 Ga 0.000 0.000 0.000
2 Fe 0.000 0.000 0.500
3 Fe 0.000 0.500 0.000
4 Fe 0.500 0.000 0.000
5 Fe 0.500 0.500 0.500

Computed properties:
Total magnetic moment: 10.68 μB/f.u.
SG: Pm-3m, No. 221



#R
Computed, not measured: an optimized crystal structure of GaFe4 at the GGA-PBE level of DFT.

Unit cell a=4.401 b=4.401 c=4.401 alpha=101.00 beta=101.00 gamma=128.19
Fractional positions:
1 Ga 0.000 0.000 0.000
2 Fe 0.201 0.594 0.794
3 Fe 0.406 0.201 0.607
4 Fe 0.594 0.799 0.393
5 Fe 0.799 0.406 0.206

Computed properties:
Total magnetic moment: 9.13 μB/f.u.
SG: I4/m, No. 87



#R has the most favorable energy; the next structure is 41.5 kJ/mol of atoms above.



#P
Computed, not measured: an optimized crystal structure of GaFeGe at the GGA-PBE level of DFT.

Unit cell a=9.362 b=8.642 c=4.953 alpha=82.23 beta=66.16 gamma=31.62
Fractional positions:
1 Ga 0.037 0.713 0.037
2 Ga 0.287 0.963 0.287
3 Ga 0.713 0.037 0.713
4 Ga 0.963 0.287 0.963
5 Fe 0.002 0.002 0.748
6 Fe 0.252 0.252 0.998
7 Fe 0.748 0.748 0.002
8 Fe 0.998 0.998 0.252
9 Ge 0.295 0.295 0.455
10 Ge 0.455 0.455 0.295
11 Ge 0.545 0.545 0.705
12 Ge 0.705 0.705 0.545

Computed properties:
Total magnetic moment: 1.13 μB/f.u.
SG: Fddd, No. 70



#Q
Computed, not measured: an optimized crystal structure of GaFeGe at the GGA-PBE level of DFT.

Unit cell a=9.058 b=8.358 c=5.004 alpha=81.16 beta=65.75 gamma=33.09
Fractional positions:
1 Ga 0.040 0.040 0.210
2 Ga 0.210 0.210 0.040
3 Ga 0.790 0.790 0.960
4 Ga 0.960 0.960 0.790
5 Fe 0.247 0.247 0.503
6 Fe 0.497 0.497 0.753
7 Fe 0.503 0.503 0.247
8 Fe 0.753 0.753 0.497
9 Ge 0.212 0.538 0.212
10 Ge 0.462 0.788 0.462
11 Ge 0.538 0.212 0.538
12 Ge 0.788 0.462 0.788

Computed properties:
Total magnetic moment: 1.30 μB/f.u.
SG: Fddd, No. 70



#R
Computed, not measured: an optimized crystal structure of GaFeGe at the GGA-PBE level of DFT.

Unit cell a=4.029 b=4.029 c=3.106 alpha=90.00 beta=90.00 gamma=120.00
Fractional positions:
1 Ga 0.000 0.000 0.000
2 Fe 0.667 0.333 0.500
3 Ge 0.333 0.667 0.500

Computed properties:
Total magnetic moment: 0.00 μB/f.u.
SG: P-6m2, No. 187



#S
Computed, not measured: an optimized crystal structure of GaFeGe at the GGA-PBE level of DFT.

Unit cell a=4.022 b=4.022 c=4.022 alpha=60.00 beta=60.00 gamma=60.00
Fractional positions:
1 Ga 0.000 0.000 0.000
2 Fe 0.750 0.750 0.750
3 Ge 0.500 0.500 0.500

Computed properties:
Total magnetic moment: 0.87 μB/f.u.
SG: F-43m, No. 216



#P has the most favorable energy; the next structure is 1.4 kJ/mol of atoms above.